Entry 1:
AsPAuC2: optimized geometry, PBE.

Unit cell a=5.2676 b=2.9987 c=5.4073 alpha=90.00 beta=106.05 gamma=90.00
Fractional positions:
1 As 0.0000 0.0000 0.0000
2 P 0.5002 0.5000 0.9458
3 Au 0.6720 0.5000 0.4035
4 C 0.3091 0.0000 0.8602
5 C 0.7804 0.5000 0.8104

Calculated values
density of states at the Fermi level: 0.397 states/eV per atom
E above lowest polymorph: 261.7 meV per atom
SG: Pm
calculated formation energy: 686 meV per atom


Entry 2:
AsPAuC: optimized geometry, PBE.

Unit cell a=7.3807 b=7.3807 c=3.7395 alpha=101.51 beta=101.51 gamma=22.57
Fractional positions:
1 As 0.0000 0.0000 0.0000
2 P 0.8840 0.8840 0.3683
3 Au 0.1726 0.1726 0.2331
4 C 0.3193 0.3193 0.3209

Calculated values
density of states at the Fermi level: 0.483 states/eV per atom
E above lowest polymorph: 153.3 meV per atom
SG: Cm
calculated formation energy: 496 meV per atom


Entry 3:
AsPAuC2: optimized geometry, PBE.

Unit cell a=3.0707 b=3.0707 c=8.1844 alpha=100.90 beta=100.90 gamma=59.88
Fractional positions:
1 As 0.0000 0.0000 0.0000
2 P 0.5529 0.5529 0.6567
3 Au 0.1036 0.1036 0.3100
4 C 0.1964 0.1964 0.5866
5 C 0.6274 0.6274 0.8814

Calculated values
density of states at the Fermi level: 0.288 states/eV per atom
E above lowest polymorph: 184.1 meV per atom
SG: Cm
calculated formation energy: 608 meV per atom